Entry 1:
{
  "formula": "LaRe2IrF",
  "functional": "PBEsol",
  "state": "relaxed",
  "m_tot_mub_per_cell": 0.00,
  "sg": "P4/mmm (123)",
  "total_energy_ev_per_atom": -7.86,
  "lattice": [[4.115, 0.000, 0.000], [0.000, 4.115, 0.000], [0.000, 0.000, 5.027]],
  "species": ["F", "Re", "Re", "Ir", "La"],
  "fractional_positions": [[0.000, 0.000, 0.000], [0.000, 0.500, 0.000], [0.500, 0.000, 0.000], [0.000, 0.000, 0.500], [0.500, 0.500, 0.500]]
}

Entry 2:
{
  "formula": "LiYAg2",
  "functional": "PBEsol",
  "state": "relaxed",
  "m_tot_mub_per_cell": 0.00,
  "sg": "R3m (160)",
  "total_energy_ev_per_atom": -3.77,
  "lattice": [[3.124, 0.000, 0.000], [1.562, 2.706, 0.000], [1.562, 0.902, 9.594]],
  "species": ["Ag", "Ag", "Li", "Y"],
  "fractional_positions": [[0.007, 0.007, 0.978], [0.750, 0.750, 0.750], [0.488, 0.488, 0.535], [0.255, 0.255, 0.236]]
}

Entry 3:
{
  "formula": "KMnRh2",
  "functional": "PBEsol",
  "state": "relaxed",
  "m_tot_mub_per_cell": 3.98,
  "sg": "C2/m (12)",
  "total_energy_ev_per_atom": -6.24,
  "lattice": [[2.768, 0.000, 0.000], [-1.384, 4.073, -0.083], [0.000, -0.598, 6.920]],
  "species": ["Rh", "Rh", "K", "Mn"],
  "fractional_positions": [[0.772, 0.544, 0.845], [0.228, 0.456, 0.155], [0.000, 0.000, 0.500], [0.500, 0.000, 0.000]]
}